Entry from Alexandria via LeMat-Bulk: crystalline LiGePt2 at its relaxed geometry (PBE).

Cell lengths 6.9996, 6.9996, 5.4868 Å; angles 90.00, 90.00, 90.00 degrees
Space group I-42d (No. 122)
One atom of each set of equivalent atoms:
Li 0.0000 0.0000 0.0000 [4 per cell]
Ge 0.0000 0.0000 0.5000 [4 per cell]
Pt 0.2168 0.2500 0.6250 [8 per cell]

Properties
As for the total energy: -4.940 eV per atom. As for the formation enthalpy at 0 K: -0.287 eV per atom.


Entry from Alexandria via LeMat-Bulk: crystalline Rb2Sb3Au at its relaxed geometry (PBE).

Cell lengths 9.5203, 11.3470, 17.3018 Å; angles 90.00, 90.00, 90.00 degrees
Space group Fmmm (No. 69)
One atom of each set of equivalent atoms:
Rb 0.0000 0.2462 0.0000 [8 per cell]
Rb 0.2500 0.2500 0.2500 [8 per cell]
Sb 0.0000 0.0000 0.1848 [8 per cell]
Sb 0.2449 0.0000 0.0866 [16 per cell]
Au 0.0000 0.0000 0.3454 [8 per cell]

Properties
As for the total energy: -3.230 eV per atom.


Entry from Alexandria via LeMat-Bulk: crystalline TaTcAsBr2 at its relaxed geometry (PBE).

Cell lengths 5.0423, 5.0423, 4.7698 Å; angles 90.00, 90.00, 90.00 degrees
Space group P4/mmm (No. 123)
One atom of each set of equivalent atoms:
Ta 0.0000 0.0000 0.0000 [1 per cell]
Tc 0.5000 0.5000 0.5000 [1 per cell]
As 0.5000 0.5000 0.0000 [1 per cell]
Br 0.0000 0.5000 0.5000 [2 per cell]

Properties
As for the total energy: -4.809 eV per atom. As for the polymorph energy (0 for the lowest one): 0.313 eV/atom.


Entry from Alexandria via LeMat-Bulk: crystalline CdSi at its relaxed geometry (PBE).

Cell lengths 3.7214, 11.9125, 7.0397 Å; angles 90.00, 90.00, 90.00 degrees
Space group Pmmn (No. 59, origin choice 2)
One atom of each set of equivalent atoms:
Cd 0.2500 0.0911 0.1983 [4 per cell]
Cd 0.2500 0.7500 0.3107 [2 per cell]
Si 0.2500 0.2500 0.9574 [2 per cell]
Si 0.2500 0.5600 0.4901 [4 per cell]

Properties
As for the total energy: -2.768 eV per atom.


Entry from Alexandria via LeMat-Bulk: crystalline AcMg2Pt at its relaxed geometry (PBE).

Cell lengths 4.3477, 8.3995, 5.8935 Å; angles 90.00, 111.57, 90.00 degrees
Space group P2_1/m (No. 11)
One atom of each set of equivalent atoms:
Ac 0.0573 0.2500 0.1157 [2 per cell]
Mg 0.3395 0.0567 0.6790 [4 per cell]
Pt 0.2278 0.7500 0.4550 [2 per cell]

Properties
As for the total energy: -4.037 eV per atom. As for the polymorph energy (0 for the lowest one): 0.000 eV/atom. As for the formation enthalpy at 0 K: -0.703 eV per atom.


Entry from Alexandria via LeMat-Bulk: crystalline TbDy6Y2 at its relaxed geometry (PBE).

Cell lengths 7.3979, 7.3979, 6.1194 Å; angles 90.00, 90.00, 120.00 degrees
Space group P-3m1 (No. 164)
One atom of each set of equivalent atoms:
Tb 0.0000 0.0000 0.0000 [1 per cell]
Dy 0.1872 0.3744 0.2990 [6 per cell]
Y 0.3333 0.6667 0.7954 [2 per cell]

Properties
As for the total energy: -4.777 eV per atom. As for the polymorph energy (0 for the lowest one): 0.224 eV/atom. As for the formation enthalpy at 0 K: 0.242 eV per atom.


Entry from Alexandria via LeMat-Bulk: crystalline RbVHg2Br8 at its relaxed geometry (PBE).

Cell lengths 6.8015, 7.6531, 9.3926 Å; angles 67.93, 83.60, 85.65 degrees
Space group P-1 (No. 2)
One atom of each set of equivalent atoms:
Rb 0.0000 0.0000 0.0000 [1 per cell]
V 0.0000 0.5000 0.5000 [1 per cell]
Hg 0.4696 0.5279 0.2152 [2 per cell]
Br 0.1221 0.4767 0.7574 [2 per cell]
Br 0.2040 0.7818 0.3569 [2 per cell]
Br 0.2886 0.2793 0.4582 [2 per cell]
Br 0.4666 0.7777 0.9368 [2 per cell]

Properties
As for the total energy: -2.793 eV per atom.


Entry from Alexandria via LeMat-Bulk: crystalline SiMoIr at its relaxed geometry (PBE).

Cell lengths 5.8591, 5.8591, 5.8591 Å; angles 90.00, 90.00, 90.00 degrees
Space group F-43m (No. 216)
One atom of each set of equivalent atoms:
Si 0.0000 0.0000 0.0000 [4 per cell]
Mo 0.0000 0.0000 0.5000 [4 per cell]
Ir 0.2500 0.2500 0.2500 [4 per cell]

Properties
As for the total energy: -8.649 eV per atom. As for the polymorph energy (0 for the lowest one): 0.250 eV/atom.


Copy entry 5 word for word.
Entry from Alexandria via LeMat-Bulk: crystalline AcMg2Pt at its relaxed geometry (PBE).

Cell lengths 4.3477, 8.3995, 5.8935 Å; angles 90.00, 111.57, 90.00 degrees
Space group P2_1/m (No. 11)
One atom of each set of equivalent atoms:
Ac 0.0573 0.2500 0.1157 [2 per cell]
Mg 0.3395 0.0567 0.6790 [4 per cell]
Pt 0.2278 0.7500 0.4550 [2 per cell]

Properties
As for the total energy: -4.037 eV per atom. As for the polymorph energy (0 for the lowest one): 0.000 eV/atom. As for the formation enthalpy at 0 K: -0.703 eV per atom.


total energy of number 4 (CdSi)?
-2.768 eV per atom


Look up the total energy of the eighth one.
-8.649 eV per atom


The highest total energy belongs to which entry?
CdSi